Compound: BaIrSN2
Source: the Alexandria database
Functional: PBEsol
Structure: optimized geometry

Summary:
Uncorrected formation energy   0.009 eV per atom
Density of states at the Fermi level   0.527 states/eV per atom
SG   P4/mmm, No. 123

Cell: 4.006 4.006 5.023 Å, 90.00 90.00 90.00°
Positions (direct):
Ir 0.000 0.000 0.000
S 0.000 0.000 0.500
N 0.500 0.000 0.000
N 0.000 0.500 0.000
Ba 0.500 0.500 0.500